First-principles (PBE-GGA) data for a relaxed NbTe3Mo crystal, as listed in Alexandria.

a b c (Å): 6.252 8.988 8.988
angles (deg): 78.81 76.14 76.14
Sites, in units of the cell vectors:
Nb 0.250 0.843 0.157
Nb 0.750 0.743 0.257
Nb 0.250 0.257 0.743
Nb 0.750 0.157 0.843
Te 0.169 0.935 0.834
Te 0.831 0.065 0.166
Te 0.653 0.074 0.585
Te 0.669 0.834 0.935
Te 0.331 0.166 0.065
Te 0.516 0.511 0.319
Te 0.984 0.681 0.489
Te 0.847 0.415 0.926
Te 0.347 0.926 0.415
Te 0.016 0.319 0.511
Te 0.153 0.585 0.074
Te 0.484 0.489 0.681
Mo 0.560 0.779 0.649
Mo 0.940 0.351 0.221
Mo 0.440 0.221 0.351
Mo 0.060 0.649 0.779

Values from the calculation:
ΔE_f (raw), kJ/mol of atoms: 4
Raw total energy, eV/atom: -6.020
Space group: C2/c
Relative energy among the computed polymorphs, meV/atom: 110



First-principles (PBE-GGA) data for a relaxed La3PmNd2Y6 crystal, as listed in Alexandria.

a b c (Å): 6.325 6.325 11.922
angles (deg): 95.06 95.06 120.01
Sites, in units of the cell vectors:
Nd 0.333 0.667 0.000
Nd 0.667 0.333 0.000
La 0.500 0.500 0.500
La 0.833 0.167 0.500
La 0.167 0.833 0.500
Y 0.584 0.918 0.752
Y 0.416 0.082 0.248
Y 0.918 0.584 0.752
Y 0.251 0.251 0.752
Y 0.749 0.749 0.248
Y 0.082 0.416 0.248
Pm 0.000 0.000 0.000

Values from the calculation:
Formation energy from the elements, eV/atom: 0.01
Raw total energy, eV/atom: -5.646
Space group: C2/m



First-principles (PBE-GGA) data for a relaxed PmDy2Th2 crystal, as listed in Alexandria.

a b c (Å): 3.573 3.573 14.658
angles (deg): 90.00 90.00 120.00
Sites, in units of the cell vectors:
Pm 0.000 0.000 0.500
Th 0.667 0.333 0.099
Th 0.333 0.667 0.901
Dy 0.667 0.333 0.700
Dy 0.333 0.667 0.300

Values from the calculation:
Formation energy from the elements, eV/atom: 0.03
Raw total energy, eV/atom: -5.725
Space group: P-3m1
Relative energy among the computed polymorphs, meV/atom: 18



First-principles (PBE-GGA) data for a relaxed LiBiAu4 crystal, as listed in Alexandria.

a b c (Å): 4.857 4.857 5.850
angles (deg): 90.00 90.00 120.00
Sites, in units of the cell vectors:
Bi 0.000 0.000 0.500
Au 0.667 0.333 0.240
Au 0.667 0.333 0.760
Au 0.333 0.667 0.760
Au 0.333 0.667 0.240
Li 0.000 0.000 0.000

Values from the calculation:
Formation energy from the elements, eV/atom: -0.16
Raw total energy, eV/atom: -3.310
Space group: P6/mmm
Relative energy among the computed polymorphs, meV/atom: 19